1.
Density functional theory data (PBE-GGA) for crystalline AlHgPd2 at its relaxed geometry.

It has space group P4/mmm (No. 123), with a = 4.431 Å, b = 4.431 Å, c = 3.355 Å, α = 90.00°, β = 90.00° and γ = 90.00°. The inequivalent atoms are Al at (0.000, 0.000, 0.000), Hg at (0.500, 0.500, 0.000) and Pd at (0.000, 0.500, 0.500).

Its spin magnetization is 0.0 μB/f.u. The crystal system is tetragonal. The density of states at the Fermi level comes out at 2.18 states/eV/cell. As for the total energy: -4.02 eV per atom. The energy of formation is -0.41 eV/atom.

2.
Density functional theory data (PBE-GGA) for crystalline Tb4CePrDy2 at its relaxed geometry.

It has space group P2/m (No. 10), with a = 6.171 Å, b = 3.567 Å, c = 11.862 Å, α = 90.00°, β = 99.99° and γ = 90.00°. The inequivalent atoms are Tb at (0.246, 0.000, 0.246), Tb at (0.249, 0.500, 0.753), Ce at (0.000, 0.500, 0.000), Pr at (0.000, 0.000, 0.500), Dy at (0.500, 0.000, 0.000) and Dy at (0.500, 0.500, 0.500).

Its spin magnetization is 0.9 μB/f.u. The crystal system is monoclinic. The density of states at the Fermi level comes out at 13.57 states/eV/cell. As for the total energy: -4.76 eV per atom. The energy of formation is 0.04 eV/atom.

3.
Density functional theory data (PBE-GGA) for crystalline GaReMoRu at its relaxed geometry.

It has space group F-43m (No. 216), with a = 6.190 Å, b = 6.190 Å, c = 6.190 Å, α = 90.00°, β = 90.00° and γ = 90.00°. The inequivalent atoms are Ga at (0.000, 0.000, 0.000), Re at (0.250, 0.250, 0.250), Mo at (0.000, 0.000, 0.500) and Ru at (0.250, 0.250, 0.750).

Its spin magnetization is 0.0 μB/f.u. The crystal system is cubic. The density of states at the Fermi level comes out at 10.55 states/eV/cell. As for the total energy: -8.91 eV per atom. The energy of formation is -0.01 eV/atom.

4.
Density functional theory data (PBE-GGA) for crystalline AlCdCl2 at its relaxed geometry.

It has space group P4/mmm (No. 123), with a = 3.260 Å, b = 3.260 Å, c = 9.667 Å, α = 90.00°, β = 90.00° and γ = 90.00°. The inequivalent atoms are Al at (0.000, 0.000, 0.000), Cd at (0.000, 0.000, 0.500) and Cl at (0.500, 0.500, 0.162).

Its spin magnetization is 0.0 μB/f.u. The calculation puts the polymorph energy (0 for the lowest one) at 363.3 meV/atom. The value obtained for the uncorrected formation energy is -0.3216 eV/atom. The crystal system is tetragonal. The density of states at the Fermi level comes out at 2.80 states/eV/cell. As for the total energy: -2.41 eV per atom.

5.
Density functional theory data (PBE-GGA) for crystalline TiHg2Cl at its relaxed geometry.

It has space group I-42d (No. 122), with a = 9.718 Å, b = 9.718 Å, c = 4.737 Å, α = 90.00°, β = 90.00° and γ = 90.00°. The inequivalent atoms are Ti at (0.000, 0.000, 0.000), Hg at (0.147, 0.250, 0.125) and Cl at (0.000, 0.000, 0.500).

Its spin magnetization is 2.0 μB/f.u. The calculation puts the polymorph energy (0 for the lowest one) at 0.0 meV/atom. The value obtained for the uncorrected formation energy is -0.1335 eV/atom. The crystal system is tetragonal. The density of states at the Fermi level comes out at 12.33 states/eV/cell. As for the total energy: -2.72 eV per atom.

6.
Density functional theory data (PBE-GGA) for crystalline As2IN at its relaxed geometry.

It has space group I-42d (No. 122), with a = 5.467 Å, b = 5.467 Å, c = 12.551 Å, α = 90.00°, β = 90.00° and γ = 90.00°. The inequivalent atoms are As at (0.069, 0.250, 0.125), I at (0.000, 0.000, 0.500) and N at (0.000, 0.000, 0.000).

Its spin magnetization is 0.0 μB/f.u. The calculation puts the polymorph energy (0 for the lowest one) at 0.0 meV/atom. The value obtained for the uncorrected formation energy is 0.7691 eV/atom. The crystal system is tetragonal. The density of states at the Fermi level comes out at 1.69 states/eV/cell. As for the total energy: -4.02 eV per atom.